No. 1
First-principles (PBE) data for crystalline Nd2Sn5Rh3 at its relaxed geometry, as listed in Alexandria via LeMat-Bulk.

energy relative to the lowest polymorph listed for this composition	0.000	eV per atom
size of the total moment	0.00	μB/cell
space group	No. 36
ΔE_f	-0.728	eV per atom
total energy	-5.888	eV per atom

abc: 4.514 7.310 13.581
angles: 90.00 99.57 90.00
Atoms (fractional coordinates):
1 Sn 0.879 0.757 0.758
2 Sn 0.710 0.013 0.420
3 Rh 0.777 0.723 0.555
4 Sn 0.404 0.380 0.808
5 Sn 0.121 0.257 0.242
6 Sn 0.596 0.880 0.192
7 Rh 0.393 0.008 0.787
8 Nd 0.476 0.754 0.951
9 Rh 0.607 0.508 0.213
10 Nd 0.828 0.231 0.655
11 Rh 0.223 0.223 0.445
12 Rh 0.051 0.973 0.102
13 Nd 0.172 0.731 0.345
14 Sn 0.290 0.513 0.580
15 Sn 0.294 0.936 0.589
16 Sn 0.049 0.590 0.097
17 Sn 0.951 0.090 0.903
18 Sn 0.706 0.436 0.411
19 Nd 0.524 0.254 0.049
20 Rh 0.949 0.473 0.898


No. 2
First-principles (PBE) data for crystalline NdSn4Rh at its relaxed geometry, as listed in Alexandria via LeMat-Bulk.

size of the total moment	0.00	μB/cell
space group	No. 2
ΔE_f	-0.379	eV per atom
total energy	-5.068	eV per atom

abc: 6.519 7.536 6.813
angles: 106.66 101.29 101.11
Atoms (fractional coordinates):
1 Sn 0.654 0.976 0.173
2 Sn 0.636 0.414 0.169
3 Sn 0.364 0.586 0.831
4 Nd 0.011 0.762 0.035
5 Sn 0.346 0.024 0.827
6 Rh 0.000 0.500 0.500
7 Sn 0.157 0.171 0.443
8 Nd 0.989 0.238 0.965
9 Sn 0.673 0.376 0.651
10 Sn 0.843 0.829 0.557
11 Rh 0.500 0.000 0.500
12 Sn 0.327 0.624 0.349


No. 3
First-principles (PBE) data for crystalline Nd3Sn4Rh2 at its relaxed geometry, as listed in Alexandria via LeMat-Bulk.

energy relative to the lowest polymorph listed for this composition	0.106	eV per atom
size of the total moment	0.00	μB/cell
space group	No. 12
ΔE_f	-0.658	eV per atom
total energy	-5.660	eV per atom

abc: 4.493 6.097 9.057
angles: 100.13 90.00 111.62
Atoms (fractional coordinates):
1 Sn 0.919 0.837 0.341
2 Sn 0.303 0.607 0.923
3 Nd 0.630 0.260 0.393
4 Sn 0.697 0.393 0.077
5 Nd 0.000 0.000 0.000
6 Rh 0.306 0.611 0.228
7 Nd 0.370 0.740 0.607
8 Sn 0.081 0.163 0.659
9 Rh 0.694 0.389 0.772


No. 4
First-principles (PBE) data for crystalline Nd3SnRh at its relaxed geometry, as listed in Alexandria via LeMat-Bulk.

energy relative to the lowest polymorph listed for this composition	0.198	eV per atom
size of the total moment	0.00	μB/cell
space group	No. 221
ΔE_f	-0.414	eV per atom
total energy	-5.546	eV per atom

abc: 5.443 5.443 5.443
angles: 90.00 90.00 90.00
Atoms (fractional coordinates):
1 Sn 0.500 0.500 0.500
2 Rh 0.000 0.000 0.000
3 Nd 0.000 0.500 0.000
4 Nd 0.500 0.000 0.000
5 Nd 0.000 0.000 0.500


No. 5
First-principles (PBE) data for crystalline Nd3SnRh3 at its relaxed geometry, as listed in Alexandria via LeMat-Bulk.

energy relative to the lowest polymorph listed for this composition	0.000	eV per atom
size of the total moment	0.00	μB/cell
space group	No. 63
ΔE_f	-0.736	eV per atom
total energy	-6.502	eV per atom

abc: 4.468 5.756 13.620
angles: 90.00 90.00 112.84
Atoms (fractional coordinates):
1 Rh 0.913 0.825 0.594
2 Rh 0.756 0.513 0.750
3 Rh 0.244 0.487 0.250
4 Rh 0.087 0.175 0.406
5 Rh 0.913 0.825 0.906
6 Sn 0.500 0.000 0.500
7 Nd 0.796 0.592 0.395
8 Sn 0.500 0.000 0.000
9 Nd 0.204 0.408 0.605
10 Nd 0.484 0.969 0.750
11 Nd 0.796 0.592 0.105
12 Nd 0.516 0.031 0.250
13 Nd 0.204 0.408 0.895
14 Rh 0.087 0.175 0.094


No. 6
First-principles (PBE) data for crystalline NdSn2Rh5 at its relaxed geometry, as listed in Alexandria via LeMat-Bulk.

size of the total moment	0.00	μB/cell
space group	No. 71
ΔE_f	-0.395	eV per atom
total energy	-6.586	eV per atom

abc: 3.955 6.818 6.818
angles: 61.34 73.14 73.14
Atoms (fractional coordinates):
1 Rh 0.625 0.575 0.175
2 Nd 0.000 0.000 0.000
3 Sn 0.762 0.738 0.738
4 Rh 0.375 0.825 0.425
5 Rh 0.000 0.500 0.500
6 Sn 0.238 0.262 0.262
7 Rh 0.375 0.425 0.825
8 Rh 0.625 0.175 0.575


No. 7
First-principles (PBE) data for crystalline TbNdSnRh at its relaxed geometry, as listed in Alexandria via LeMat-Bulk.

size of the total moment	0.00	μB/cell
space group	No. 216
ΔE_f	-0.592	eV per atom
total energy	-5.780	eV per atom

abc: 5.200 5.200 5.200
angles: 60.00 60.00 60.00
Atoms (fractional coordinates):
1 Tb 0.000 0.000 0.000
2 Rh 0.750 0.750 0.750
3 Sn 0.250 0.250 0.250
4 Nd 0.500 0.500 0.500


No. 8
First-principles (PBE) data for crystalline Nd2TlSn2Rh5 at its relaxed geometry, as listed in Alexandria via LeMat-Bulk.

size of the total moment	0.00	μB/cell
space group	No. 127
ΔE_f	-0.463	eV per atom
total energy	-6.129	eV per atom

abc: 3.781 10.329 10.329
angles: 90.00 90.00 90.00
Atoms (fractional coordinates):
1 Rh 0.500 0.294 0.561
2 Rh 0.500 0.206 0.061
3 Nd 0.000 0.173 0.327
4 Tl 0.000 0.500 0.500
5 Rh 0.500 0.706 0.439
6 Rh 0.500 0.561 0.706
7 Sn 0.000 0.125 0.625
8 Rh 0.500 0.500 0.000
9 Nd 0.000 0.673 0.173
10 Rh 0.500 0.939 0.206
11 Rh 0.500 0.000 0.500
12 Sn 0.000 0.375 0.125
13 Sn 0.000 0.875 0.375
14 Rh 0.500 0.439 0.294
15 Rh 0.500 0.061 0.794
16 Rh 0.500 0.794 0.939
17 Tl 0.000 0.000 0.000
18 Nd 0.000 0.327 0.827
19 Sn 0.000 0.625 0.875
20 Nd 0.000 0.827 0.673